[1]
# PmYNiI | the Alexandria database | PBE | optimized geometry
# SG: No. 160
# DOS at the Fermi energy, states/eV/cell: 3.021
# V, Å³ per atom: 28.38
# Formation energy (no corrections), eV per atom: -0.657
data_PmYNiI
_chemical_formula_sum 'Pm1 Y1 Ni1 I1'
_cell_length_a 8.2779
_cell_length_b 8.2779
_cell_length_c 8.2779
_cell_angle_alpha 28.42
_cell_angle_beta 28.42
_cell_angle_gamma 28.42
_symmetry_space_group_name_H-M 'P 1'
_symmetry_Int_Tables_number 1
_symmetry_space_group_name_Hall 'P 1'
loop_
_atom_site_label
_atom_site_fract_x
_atom_site_fract_y
_atom_site_fract_z
Pm1 0.0000 0.0000 0.0000
Y1 0.2126 0.2126 0.2126
Ni1 0.6054 0.6054 0.6054
I1 0.7764 0.7764 0.7764

[2]
# PmTlHgAu | the Alexandria database | PBE | optimized geometry
# SG: No. 216
# Calculated total energy, eV per cell: -12.5
# DOS at the Fermi energy, states/eV/cell: 2.284
# V, Å³ per atom: 24.54
data_PmTlHgAu
_chemical_formula_sum 'Pm1 Tl1 Hg1 Au1'
_cell_length_a 5.1777
_cell_length_b 5.1777
_cell_length_c 5.1777
_cell_angle_alpha 60.00
_cell_angle_beta 60.00
_cell_angle_gamma 60.00
_symmetry_space_group_name_H-M 'P 1'
_symmetry_Int_Tables_number 1
_symmetry_space_group_name_Hall 'P 1'
loop_
_atom_site_label
_atom_site_fract_x
_atom_site_fract_y
_atom_site_fract_z
Pm1 0.0000 0.0000 0.0000
Tl1 0.5000 0.5000 0.5000
Hg1 0.7500 0.7500 0.7500
Au1 0.2500 0.2500 0.2500

Number 2 is which compound?
PmTlHgAu

Among the records above, which one has the lowest DOS at the Fermi energy?
PmTlHgAu